MnSeO4 | PBE with a Hubbard U | optimized geometry

```
12
Lattice="2.8082 -4.2603 0.0000 2.8082 4.2603 0.0000 0.0000 0.0000 6.9819" Properties=species:S:1:pos:R:3 pbc="T T T"
Mn 0.0000 0.0000 0.0000
Mn 0.0000 0.0000 3.4909
Se 2.8082 1.2671 5.2364
Se 2.8082 -1.2671 1.7455
O 1.4309 0.2695 5.2364
O 2.8082 2.1584 3.8404
O 2.8082 2.1584 6.6325
O 1.4309 -0.2695 1.7455
O 4.1856 0.2695 5.2364
O 2.8082 -2.1584 0.3494
O 2.8082 -2.1584 3.1415
O 4.1856 -0.2695 1.7455
```

Values from the calculation:
V = 13.922 Å³ per atom
calculated total energy = -6.19 eV per atom